VASP calculation (PBE+U) on a relaxed LaFePdF2 crystal.

Geometry as CIF:
```
data_LaFePdF2
_space_group_name_H-M_alt 'P 4/m m m'
_space_group_IT_number 123
_space_group_name_Hall '-P 4 2'
_cell_length_a 4.137
_cell_length_b 4.137
_cell_length_c 5.600
_cell_angle_alpha 90.00
_cell_angle_beta 90.00
_cell_angle_gamma 90.00
loop_
_atom_site_label
_atom_site_fract_x
_atom_site_fract_y
_atom_site_fract_z
La1 0.000 0.000 0.000
Fe1 0.500 0.500 0.500
Pd1 0.500 0.500 0.000
F1 0.000 0.500 0.500
```

Values from the calculation:
V	96	Å³/cell
crystal system	tetragonal
size of the total moment	4.386	μB per formula unit
total energy	-5.420	eV/atom